# 1
CrTc3H after structural relaxation. Source: the Alexandria database, functional PBE.

Geometry as POSCAR:
```
CrTc3H
1.0
3.878 0.000 0.000
0.000 3.878 0.000
0.000 0.000 3.878
Cr Tc H
1 3 1
Cartesian
1.939 1.939 1.939 Cr
0.000 1.939 0.000 Tc
0.000 0.000 1.939 Tc
1.939 0.000 0.000 Tc
0.000 0.000 0.000 H
```

Summary:
ΔE to the lowest computed polymorph	0.0000	eV/atom

---

# 2
Cr2TcH2 after structural relaxation. Source: the Alexandria database, functional PBE.

Geometry as POSCAR:
```
Cr2TcH2
1.0
2.755 0.000 0.000
0.000 2.755 0.000
1.378 1.378 5.733
Cr Tc H
2 1 2
Cartesian
1.378 1.378 1.753 Cr
2.755 2.755 3.980 Cr
0.000 0.000 0.000 Tc
2.755 1.378 2.866 H
1.378 2.755 2.866 H
```

Summary:
ΔE to the lowest computed polymorph	0.0000	eV/atom

---

# 3
Cr2TcH after structural relaxation. Source: the Alexandria database, functional PBE.

Geometry as POSCAR:
```
Cr2TcH
1.0
2.863 0.000 -0.002
0.000 2.863 0.000
0.010 0.000 9.715
Cr Tc H
4 2 2
Cartesian
2.155 2.395 7.646 Cr
0.717 0.964 2.067 Cr
2.148 2.396 0.703 Cr
0.725 0.964 9.009 Cr
0.723 0.963 6.005 Tc
2.150 2.394 3.708 Tc
0.718 0.961 3.989 H
2.155 2.393 5.724 H
```

Summary:
ΔE to the lowest computed polymorph	0.0000	eV/atom

---

# 4
Cr2TcH2 after structural relaxation. Source: the Alexandria database, functional PBE.

Geometry as POSCAR:
```
Cr2TcH2
1.0
-0.490 -4.936 -2.598
2.207 -2.566 4.461
-2.588 -0.320 1.096
Cr Tc H
4 2 4
Cartesian
0.049 -2.490 3.038 Cr
0.292 -5.525 2.726 Cr
-0.920 -5.333 -0.079 Cr
-1.163 -2.298 0.234 Cr
0.000 0.000 0.000 Tc
0.859 -3.751 0.932 Tc
1.624 -3.556 2.795 H
1.145 -5.753 1.024 H
0.094 -3.947 -0.932 H
0.572 -1.750 0.839 H
```

Summary:
ΔE to the lowest computed polymorph	0.2280	eV/atom

---

# 5
CrTc2H after structural relaxation. Source: the Alexandria database, functional PBE.

Geometry as POSCAR:
```
CrTc2H
1.0
-2.267 -0.350 -1.521
-0.125 -2.633 0.792
-3.325 1.541 4.600
Cr Tc H
1 2 1
Cartesian
-2.858 -0.721 1.935 Cr
-2.618 1.213 3.623 Tc
-0.707 0.327 0.978 Tc
-1.196 -1.492 -0.365 H
```

Summary:
ΔE to the lowest computed polymorph	0.0555	eV/atom

---

# 6
Cr2TcH after structural relaxation. Source: the Alexandria database, functional PBE.

Geometry as POSCAR:
```
Cr2TcH
1.0
-1.538 -1.424 -1.635
1.901 -1.851 -0.176
-2.306 -2.806 4.613
Cr Tc H
2 1 1
Cartesian
-1.882 -2.291 3.766 Cr
-0.424 -0.515 0.847 Cr
-0.972 -3.041 1.401 Tc
0.181 -1.638 -0.906 H
```

Summary:
ΔE to the lowest computed polymorph	0.3516	eV/atom

---

# 7
VCrTc2H after structural relaxation. Source: the Alexandria database, functional PBE.

Geometry as POSCAR:
```
VCrTc2H
1.0
4.155 0.000 0.000
0.000 4.155 0.000
0.000 0.000 3.322
Cr Tc H V
1 2 1 1
Cartesian
0.000 0.000 1.661 Cr
0.000 2.078 0.000 Tc
2.078 0.000 0.000 Tc
0.000 0.000 0.000 H
2.078 2.078 1.661 V
```

---

# 8
Cr2TcHW after structural relaxation. Source: the Alexandria database, functional PBE.

Geometry as POSCAR:
```
Cr2TcHW
1.0
-0.318 -0.070 3.781
1.520 -3.477 0.063
3.603 1.581 0.333
Cr Tc W H
2 1 1 1
Cartesian
0.760 -1.738 0.032 Cr
-0.159 -0.035 1.890 Cr
2.402 -0.983 2.089 Tc
1.801 0.791 0.166 W
0.000 0.000 0.000 H
```

Summary:
ΔE to the lowest computed polymorph	0.0207	eV/atom

---

Number 1: V 58.31 Å³/cell, E_tot -8.673 eV per atom. Number 2: V 43.52 Å³/cell, E_tot -7.179 eV per atom. Number 3: V 79.63 Å³/cell, E_tot -8.228 eV per atom. Number 4: V 88.72 Å³/cell, E_tot -6.951 eV per atom. Number 5: V 44.56 Å³/cell, E_tot -8.068 eV per atom. Number 6: V 41.51 Å³/cell, E_tot -7.876 eV per atom. Number 7: V 57.36 Å³/cell, E_tot -8.530 eV per atom. Number 8: V 56.86 Å³/cell, E_tot -8.974 eV per atom.